[1]
BeCdOs2Ru | PBE | optimized geometry

a b c (Å): 4.7047 4.7047 4.1791
angles (deg): 90.00 90.00 90.00
Space group P4/mmm (No. 123)
Unique sites:
Be: 0.0000 0.0000 0.0000
Cd: 0.5000 0.5000 0.0000
Os: 0.0000 0.5000 0.5000
Ru: 0.0000 0.0000 0.5000

Calculated values
* D(E_F): 5.41 states/eV/f.u.
* final energy: -5.799 eV/atom

---

[2]
La2NiRuC | PBE | optimized geometry

a b c (Å): 5.2888 5.2888 3.5843
angles (deg): 90.00 90.00 90.00
Space group P4/mmm (No. 123)
Unique sites:
La: 0.0000 0.5000 0.0000
Ni: 0.0000 0.0000 0.5000
Ru: 0.5000 0.5000 0.5000
C: 0.0000 0.0000 0.0000

Calculated values
* D(E_F): 4.47 states/eV/f.u.
* ΔE to the lowest computed polymorph: 6.8 kJ/mol of atoms

---

[3]
ScCoSn2 | PBE | optimized geometry

a b c (Å): 3.2433 3.2433 29.3328
angles (deg): 90.00 90.00 120.00
Space group R-3m (No. 166, hexagonal axes)
Unique sites:
Sc: 0.0000 0.0000 0.0000
Co: 0.0000 0.0000 0.5000
Sn: 0.0000 0.0000 0.1020

Calculated values
* D(E_F): 5.35 states/eV/f.u.
* final energy: -5.183 eV/atom

---

[4]
PrNdY2Th | PBE | optimized geometry

a b c (Å): 8.7515 6.5701 6.3904
angles (deg): 90.00 101.71 90.00
Space group P2/c (No. 13)
Unique sites:
Pr: 0.0000 0.0000 0.0000
Nd: 0.5000 0.1656 0.2500
Y: 0.3133 0.3284 0.6872
Th: 0.0000 0.4515 0.2500

Calculated values
* D(E_F): 6.83 states/eV/f.u.
* final energy: -5.668 eV/atom